1.
# YTc2Pt, optimized geometry, DFT PBE
# - DOS at the Fermi energy: 1.461 states/eV per atom
# - ΔE_f: -4.72 kJ per mole of atoms
# - Magnetization: 0.00 μB per cell
# - SG: P4/mmm
# - E_tot: -33.43 eV/cell
data_YTc2Pt
_cell_length_a 3.921
_cell_length_b 3.921
_cell_length_c 4.553
_cell_angle_alpha 90.00
_cell_angle_beta 90.00
_cell_angle_gamma 90.00
_space_group_name_H-M_alt 'P 1'
_space_group_IT_number 1
loop_
_space_group_symop_operation_xyz
'x,y,z'
loop_
_atom_site_label
_atom_site_type_symbol
_atom_site_fract_x
_atom_site_fract_y
_atom_site_fract_z
Y1 Y 0.000 0.000 0.000
Tc1 Tc 0.000 0.500 0.500
Tc2 Tc 0.500 0.000 0.500
Pt1 Pt 0.500 0.500 0.000

=====

2.
# YTc2Pt, optimized geometry, DFT PBE
# - DOS at the Fermi energy: 0.984 states/eV per atom
# - ΔE_f: 3.45 kJ per mole of atoms
# - Magnetization: 0.00 μB per cell
# - SG: P2/m
# - E_tot: -33.09 eV/cell
data_YTc2Pt
_cell_length_a 3.311
_cell_length_b 4.930
_cell_length_c 4.551
_cell_angle_alpha 90.00
_cell_angle_beta 95.51
_cell_angle_gamma 90.00
_space_group_name_H-M_alt 'P 1'
_space_group_IT_number 1
loop_
_space_group_symop_operation_xyz
'x,y,z'
loop_
_atom_site_label
_atom_site_type_symbol
_atom_site_fract_x
_atom_site_fract_y
_atom_site_fract_z
Y1 Y 0.000 0.000 0.000
Tc1 Tc 0.336 0.500 0.752
Tc2 Tc 0.664 0.500 0.248
Pt1 Pt 0.500 0.000 0.500

=====

3.
# YTc3Pt, optimized geometry, DFT PBE
# - DOS at the Fermi energy: 1.289 states/eV per atom
# - ΔE_f: 234.31 kJ per mole of atoms
# - Magnetization: 0.00 μB per cell
# - SG: Pm-3m
# - E_tot: -31.46 eV/cell
data_YTc3Pt
_cell_length_a 4.689
_cell_length_b 4.689
_cell_length_c 4.689
_cell_angle_alpha 90.00
_cell_angle_beta 90.00
_cell_angle_gamma 90.00
_space_group_name_H-M_alt 'P 1'
_space_group_IT_number 1
loop_
_space_group_symop_operation_xyz
'x,y,z'
loop_
_atom_site_label
_atom_site_type_symbol
_atom_site_fract_x
_atom_site_fract_y
_atom_site_fract_z
Y1 Y 0.000 0.000 0.000
Tc1 Tc 0.000 0.000 0.500
Tc2 Tc 0.000 0.500 0.000
Tc3 Tc 0.500 0.000 0.000
Pt1 Pt 0.500 0.500 0.500

=====

4.
# YTcPt3, optimized geometry, DFT PBE
# - DOS at the Fermi energy: 0.781 states/eV per atom
# - ΔE_f: 22.27 kJ per mole of atoms
# - Magnetization: 0.00 μB per cell
# - SG: Pm-3m
# - E_tot: -33.80 eV/cell
data_YTcPt3
_cell_length_a 4.830
_cell_length_b 4.830
_cell_length_c 4.830
_cell_angle_alpha 90.00
_cell_angle_beta 90.00
_cell_angle_gamma 90.00
_space_group_name_H-M_alt 'P 1'
_space_group_IT_number 1
loop_
_space_group_symop_operation_xyz
'x,y,z'
loop_
_atom_site_label
_atom_site_type_symbol
_atom_site_fract_x
_atom_site_fract_y
_atom_site_fract_z
Y1 Y 0.000 0.000 0.000
Tc1 Tc 0.500 0.500 0.500
Pt1 Pt 0.000 0.500 0.500
Pt2 Pt 0.500 0.000 0.500
Pt3 Pt 0.500 0.500 0.000